First-principles (PBEsol) data for crystalline CdW at its relaxed geometry, as listed in the Alexandria database.

Size of the total moment = 0.00 μB/atom
Density = 14.29 g/cm³
E above lowest polymorph = 0.672 eV per formula unit
ΔH_f (0 K) = 0.67 eV/atom

Unit cell a=5.1706 b=5.1706 c=5.1706 alpha=31.96 beta=31.96 gamma=31.96
With the nearest neighbours (Å) after each atom.
Fractional coordinates of all 2 atoms:
Cd 0.0000 0.0000 0.0000  6 Cd 2.85, 6 W 2.95
W 0.5000 0.5000 0.5000  6 W 2.85, 6 Cd 2.95

***

First-principles (PBEsol) data for crystalline Cd4W at its relaxed geometry, as listed in the Alexandria database.

Size of the total moment = 0.36 μB/atom
Density = 10.26 g/cm³
ΔH_f (0 K) = 0.92 eV/atom

Unit cell a=7.7042 b=7.7042 c=7.7042 alpha=151.71 beta=151.71 gamma=40.44
With the nearest neighbours (Å) after each atom.
Fractional coordinates of all 5 atoms:
Cd 0.0932 0.0932 0.0000  5 Cd 2.70-2.95, 4 W 2.98
Cd 0.2500 0.7500 0.5000  8 Cd 2.66-2.95
Cd 0.7500 0.2500 0.5000  8 Cd 2.66-2.95
Cd 0.9068 0.9068 0.0000  5 Cd 2.70-2.95, 4 W 2.98
W 0.5000 0.5000 0.0000  8 Cd 2.98